No. 1
First-principles (PBEsol) data for an optimized crystal structure of TbPd2Pb, as listed in Alexandria via LeMat-Bulk.

Cell lengths 6.775, 6.775, 6.775 Å; angles 90.00, 90.00, 90.00 degrees
Element x y z (fractional)
Tb 0.000 0.000 0.000
Tb 0.000 0.500 0.500
Tb 0.500 0.000 0.500
Tb 0.500 0.500 0.000
Pd 0.250 0.250 0.250
Pd 0.250 0.250 0.750
Pd 0.250 0.750 0.250
Pd 0.250 0.750 0.750
Pd 0.750 0.250 0.250
Pd 0.750 0.250 0.750
Pd 0.750 0.750 0.250
Pd 0.750 0.750 0.750
Pb 0.000 0.000 0.500
Pb 0.000 0.500 0.000
Pb 0.500 0.000 0.000
Pb 0.500 0.500 0.500

As for the crystal system: cubic. The volume comes out at 311 Å³/cell. The density of states at the Fermi level is 2.0 states/eV/f.u. As for the formation enthalpy at 0 K: -0.70 eV per atom. As for the space-group type: Fm-3m (225). The total moment is 0.00 μB per formula unit. As for the calculated total energy: -94.93 eV per cell.



No. 2
First-principles (PBEsol) data for an optimized crystal structure of TcPd3Pb, as listed in Alexandria via LeMat-Bulk.

Cell lengths 4.904, 4.904, 4.904 Å; angles 90.00, 90.00, 90.00 degrees
Element x y z (fractional)
Tc 0.000 0.000 0.000
Pd 0.000 0.500 0.500
Pd 0.500 0.000 0.500
Pd 0.500 0.500 0.000
Pb 0.500 0.500 0.500

As for the crystal system: cubic. The volume comes out at 118 Å³/cell. The density of states at the Fermi level is 3.9 states/eV/f.u. As for the formation enthalpy at 0 K: 1.55 eV per atom. As for the space-group type: Pm-3m (221). The total moment is 4.37 μB per formula unit. As for the calculated total energy: -25.39 eV per cell.